The following is a PBE calculation of crystalline Tl2Hg2Br at its relaxed geometry, from Alexandria via LeMat-Bulk.

Geometry as CIF:
```
data_Tl2Hg2Br
_chemical_formula_sum 'Tl4 Hg4 Br2'
_symmetry_space_group_name_H-M 'P 4/m b m'
_symmetry_Int_Tables_number 127
_symmetry_space_group_name_Hall '-P 4 2ab'
_cell_length_a 8.759
_cell_length_b 8.759
_cell_length_c 4.342
_cell_angle_alpha 90.00
_cell_angle_beta 90.00
_cell_angle_gamma 90.00
loop_
_atom_site_label
_atom_site_fract_x
_atom_site_fract_y
_atom_site_fract_z
Tl1 0.179 0.321 0.000
Hg1 0.129 0.629 0.500
Br1 0.000 0.000 0.000
```

Results
magnetization: 0.00 μB/f.u.
polymorph energy (0 for the lowest one): 0.0 meV per atom
ρ: 8.87 g/cm3
formation energy from raw total energies: -0.26 eV per atom

The following is a PBE calculation of crystalline La2SbRh2 at its relaxed geometry, from Alexandria via LeMat-Bulk.

Geometry as CIF:
```
data_La2SbRh2
_chemical_formula_sum 'La4 Sb2 Rh4'
_symmetry_space_group_name_H-M 'I 4/m m m'
_symmetry_Int_Tables_number 139
_symmetry_space_group_name_Hall '-I 4 2'
_cell_length_a 3.938
_cell_length_b 3.938
_cell_length_c 16.701
_cell_angle_alpha 90.00
_cell_angle_beta 90.00
_cell_angle_gamma 90.00
loop_
_atom_site_label
_atom_site_fract_x
_atom_site_fract_y
_atom_site_fract_z
La1 0.000 0.000 0.123
Sb1 0.000 0.000 0.500
Rh1 0.000 0.500 0.250
```

Results
magnetization: 0.00 μB/f.u.
polymorph energy (0 for the lowest one): 276.3 meV per atom
ρ: 7.76 g/cm3
formation energy from raw total energies: -0.64 eV per atom

The following is a PBE calculation of crystalline Zr2NbAl at its relaxed geometry, from Alexandria via LeMat-Bulk.

Geometry as CIF:
```
data_Zr2NbAl
_chemical_formula_sum 'Zr8 Nb4 Al4'
_symmetry_space_group_name_H-M 'I -4 2 d'
_symmetry_Int_Tables_number 122
_symmetry_space_group_name_Hall 'I -4 2bw'
_cell_length_a 7.720
_cell_length_b 7.720
_cell_length_c 5.651
_cell_angle_alpha 90.00
_cell_angle_beta 90.00
_cell_angle_gamma 90.00
loop_
_atom_site_label
_atom_site_fract_x
_atom_site_fract_y
_atom_site_fract_z
Zr1 0.245 0.750 0.125
Nb1 0.000 0.000 0.500
Al1 0.000 0.000 0.000
```

Results
magnetization: 0.00 μB/f.u.
ΔH_f (0 K): 308 meV per atom
ρ: 5.96 g/cm3

The following is a PBE calculation of crystalline Sm2Zn2CdRh5 at its relaxed geometry, from Alexandria via LeMat-Bulk.

Geometry as CIF:
```
data_Sm2Zn2CdRh5
_chemical_formula_sum 'Sm4 Zn4 Cd2 Rh10'
_symmetry_space_group_name_H-M 'P 4/m b m'
_symmetry_Int_Tables_number 127
_symmetry_space_group_name_Hall '-P 4 2ab'
_cell_length_a 9.706
_cell_length_b 9.706
_cell_length_c 3.749
_cell_angle_alpha 90.00
_cell_angle_beta 90.00
_cell_angle_gamma 90.00
loop_
_atom_site_label
_atom_site_fract_x
_atom_site_fract_y
_atom_site_fract_z
Sm1 0.177 0.323 0.000
Zn1 0.121 0.621 0.000
Cd1 0.000 0.000 0.000
Rh1 0.000 0.500 0.500
Rh2 0.069 0.791 0.500
```

Results
magnetization: 0.00 μB/f.u.
ΔH_f (0 K): -496 meV per atom
ρ: 9.95 g/cm3

The following is a PBE calculation of crystalline NpGa2Ir at its relaxed geometry, from Alexandria via LeMat-Bulk.

Geometry as CIF:
```
data_NpGa2Ir
_chemical_formula_sum 'Np4 Ga8 Ir4'
_symmetry_space_group_name_H-M 'F m -3 m'
_symmetry_Int_Tables_number 225
_symmetry_space_group_name_Hall '-F 4 2 3'
_cell_length_a 6.574
_cell_length_b 6.574
_cell_length_c 6.574
_cell_angle_alpha 90.00
_cell_angle_beta 90.00
_cell_angle_gamma 90.00
loop_
_atom_site_label
_atom_site_fract_x
_atom_site_fract_y
_atom_site_fract_z
Np1 0.000 0.000 0.000
Ga1 0.250 0.250 0.250
Ir1 0.000 0.000 0.500
```

Results
magnetization: 3.55 μB/f.u.
ΔH_f (0 K): -122 meV per atom
ρ: 13.29 g/cm3

The following is a PBE calculation of crystalline ZnInAs3 at its relaxed geometry, from Alexandria via LeMat-Bulk.

Geometry as CIF:
```
data_ZnInAs3
_chemical_formula_sum 'Zn1 In1 As3'
_symmetry_space_group_name_H-M 'P m -3 m'
_symmetry_Int_Tables_number 221
_symmetry_space_group_name_Hall '-P 4 2 3'
_cell_length_a 5.253
_cell_length_b 5.253
_cell_length_c 5.253
_cell_angle_alpha 90.00
_cell_angle_beta 90.00
_cell_angle_gamma 90.00
loop_
_atom_site_label
_atom_site_fract_x
_atom_site_fract_y
_atom_site_fract_z
Zn1 0.000 0.000 0.000
In1 0.500 0.500 0.500
As1 0.000 0.500 0.500
```

Results
magnetization: 0.00 μB/f.u.
ΔH_f (0 K): 1043 meV per atom
polymorph energy (0 for the lowest one): 457.1 meV per atom
ρ: 4.64 g/cm3

The following is a PBE calculation of crystalline YCuAg3 at its relaxed geometry, from Alexandria via LeMat-Bulk.

Geometry as CIF:
```
data_YCuAg3
_chemical_formula_sum 'Y1 Cu1 Ag3'
_symmetry_space_group_name_H-M 'P m -3 m'
_symmetry_Int_Tables_number 221
_symmetry_space_group_name_Hall '-P 4 2 3'
_cell_length_a 4.818
_cell_length_b 4.818
_cell_length_c 4.818
_cell_angle_alpha 90.00
_cell_angle_beta 90.00
_cell_angle_gamma 90.00
loop_
_atom_site_label
_atom_site_fract_x
_atom_site_fract_y
_atom_site_fract_z
Y1 0.000 0.000 0.000
Cu1 0.500 0.500 0.500
Ag1 0.000 0.500 0.500
```

Results
magnetization: 0.00 μB/f.u.
ΔH_f (0 K): 207 meV per atom
polymorph energy (0 for the lowest one): 0.0 meV per atom
ρ: 7.07 g/cm3

The following is a PBE calculation of crystalline YSb3S at its relaxed geometry, from Alexandria via LeMat-Bulk.

Geometry as CIF:
```
data_YSb3S
_chemical_formula_sum 'Y1 Sb3 S1'
_symmetry_space_group_name_H-M 'P m -3 m'
_symmetry_Int_Tables_number 221
_symmetry_space_group_name_Hall '-P 4 2 3'
_cell_length_a 5.199
_cell_length_b 5.199
_cell_length_c 5.199
_cell_angle_alpha 90.00
_cell_angle_beta 90.00
_cell_angle_gamma 90.00
loop_
_atom_site_label
_atom_site_fract_x
_atom_site_fract_y
_atom_site_fract_z
Y1 0.000 0.000 0.000
Sb1 0.000 0.500 0.500
S1 0.500 0.500 0.500
```

Results
magnetization: 0.00 μB/f.u.
polymorph energy (0 for the lowest one): 0.0 meV per atom
ρ: 5.75 g/cm3
formation energy from raw total energies: -0.02 eV per atom

The following is a PBE calculation of crystalline TiCuHPt2 at its relaxed geometry, from Alexandria via LeMat-Bulk.

Geometry as CIF:
```
data_TiCuHPt2
_chemical_formula_sum 'Ti1 Cu1 H1 Pt2'
_symmetry_space_group_name_H-M 'P 4/m m m'
_symmetry_Int_Tables_number 123
_symmetry_space_group_name_Hall '-P 4 2'
_cell_length_a 3.958
_cell_length_b 3.958
_cell_length_c 3.985
_cell_angle_alpha 90.00
_cell_angle_beta 90.00
_cell_angle_gamma 90.00
loop_
_atom_site_label
_atom_site_fract_x
_atom_site_fract_y
_atom_site_fract_z
Ti1 0.000 0.000 0.000
Cu1 0.500 0.500 0.000
H1 0.000 0.000 0.500
Pt1 0.000 0.500 0.500
```

Results
magnetization: 0.95 μB/f.u.
raw total energy: -5.7979 eV/atom
ρ: 13.37 g/cm3

The following is a PBE calculation of crystalline HoCrC at its relaxed geometry, from Alexandria via LeMat-Bulk.

Geometry as CIF:
```
data_HoCrC
_chemical_formula_sum 'Ho4 Cr4 C4'
_symmetry_space_group_name_H-M 'P b c m'
_symmetry_Int_Tables_number 57
_cell_length_a 5.072
_cell_length_b 5.723
_cell_length_c 5.589
_cell_angle_alpha 90.00
_cell_angle_beta 90.00
_cell_angle_gamma 90.00
loop_
_symmetry_equiv_pos_as_xyz
'x,y,z'
'-x,-y,-z'
'-x,-y,z+1/2'
'x,y,-z+1/2'
'x,-y+1/2,-z'
'-x,y+1/2,z'
'-x,y+1/2,-z+1/2'
'x,-y+1/2,z+1/2'
loop_
_atom_site_label
_atom_site_fract_x
_atom_site_fract_y
_atom_site_fract_z
Ho1 0.100 0.093 0.250
Cr1 0.431 0.750 0.000
C1 0.393 0.033 0.750
```

Results
magnetization: 1.26 μB/f.u.
ΔH_f (0 K): 51 meV per atom
polymorph energy (0 for the lowest one): 0.0 meV per atom
ρ: 9.37 g/cm3

The following is a PBE calculation of crystalline ZrInTe2 at its relaxed geometry, from Alexandria via LeMat-Bulk.

Geometry as CIF:
```
data_ZrInTe2
_chemical_formula_sum 'Zr4 In4 Te8'
_symmetry_space_group_name_H-M 'I -4 2 d'
_symmetry_Int_Tables_number 122
_symmetry_space_group_name_Hall 'I -4 2bw'
_cell_length_a 7.608
_cell_length_b 7.608
_cell_length_c 11.563
_cell_angle_alpha 90.00
_cell_angle_beta 90.00
_cell_angle_gamma 90.00
loop_
_atom_site_label
_atom_site_fract_x
_atom_site_fract_y
_atom_site_fract_z
Zr1 0.000 0.000 0.000
In1 0.000 0.000 0.500
Te1 0.195 0.250 0.125
```

Results
magnetization: 1.00 μB/f.u.
ρ: 4.58 g/cm3
formation energy from raw total energies: -0.25 eV per atom

The following is a PBE calculation of crystalline TbPmS3 at its relaxed geometry, from Alexandria via LeMat-Bulk.

Geometry as CIF:
```
data_TbPmS3
_chemical_formula_sum 'Tb6 Pm6 S18'
_symmetry_space_group_name_H-M 'R -3'
_symmetry_Int_Tables_number 148
_symmetry_space_group_name_Hall '-R 3'
_cell_length_a 7.0444
_cell_length_b 7.0444
_cell_length_c 18.7116
_cell_angle_alpha 90.00
_cell_angle_beta 90.00
_cell_angle_gamma 120.00
loop_
_atom_site_label
_atom_site_fract_x
_atom_site_fract_y
_atom_site_fract_z
Tb1 0.0000 0.0000 0.1503
Pm1 0.0000 0.0000 0.3545
S1 0.0089 0.3024 0.7506
```

Results
magnetization: 0.00 μB/f.u.
polymorph energy (0 for the lowest one): 44.7 meV per atom
ρ: 4.96 g/cm3
formation energy from raw total energies: -2.04 eV per atom

The following is a PBE calculation of crystalline BaGa3Os at its relaxed geometry, from Alexandria via LeMat-Bulk.

Geometry as CIF:
```
data_BaGa3Os
_chemical_formula_sum 'Ba3 Ga9 Os3'
_symmetry_space_group_name_H-M 'R 3 m'
_symmetry_Int_Tables_number 160
_symmetry_space_group_name_Hall 'R 3 -2"'
_cell_length_a 8.7701
_cell_length_b 8.7701
_cell_length_c 7.7756
_cell_angle_alpha 90.00
_cell_angle_beta 90.00
_cell_angle_gamma 120.00
loop_
_atom_site_label
_atom_site_fract_x
_atom_site_fract_y
_atom_site_fract_z
Ba1 0.0000 0.0000 0.0000
Ga1 0.2110 0.4220 0.0997
Os1 0.0000 0.0000 0.6170
```

Results
magnetization: 0.00 μB/f.u.
ΔH_f (0 K): 591 meV per atom
polymorph energy (0 for the lowest one): 989.2 meV per atom
ρ: 5.16 g/cm3

The following is a PBE calculation of crystalline SiSb2Te at its relaxed geometry, from Alexandria via LeMat-Bulk.

Geometry as CIF:
```
data_SiSb2Te
_chemical_formula_sum 'Si4 Sb8 Te4'
_symmetry_space_group_name_H-M 'F -4 3 m'
_symmetry_Int_Tables_number 216
_symmetry_space_group_name_Hall 'F -4 2 3'
_cell_length_a 7.383
_cell_length_b 7.383
_cell_length_c 7.383
_cell_angle_alpha 90.00
_cell_angle_beta 90.00
_cell_angle_gamma 90.00
loop_
_atom_site_label
_atom_site_fract_x
_atom_site_fract_y
_atom_site_fract_z
Si1 0.000 0.000 0.000
Sb1 0.000 0.000 0.500
Sb2 0.250 0.250 0.750
Te1 0.250 0.250 0.250
```

Results
magnetization: 0.00 μB/f.u.
polymorph energy (0 for the lowest one): 368.2 meV per atom
ρ: 6.59 g/cm3
formation energy from raw total energies: 0.45 eV per atom

The following is a PBE calculation of crystalline LaGa2CuSb at its relaxed geometry, from Alexandria via LeMat-Bulk.

Geometry as CIF:
```
data_LaGa2CuSb
_chemical_formula_sum 'La1 Ga2 Cu1 Sb1'
_symmetry_space_group_name_H-M 'P 4/m m m'
_symmetry_Int_Tables_number 123
_symmetry_space_group_name_Hall '-P 4 2'
_cell_length_a 4.845
_cell_length_b 4.845
_cell_length_c 5.512
_cell_angle_alpha 90.00
_cell_angle_beta 90.00
_cell_angle_gamma 90.00
loop_
_atom_site_label
_atom_site_fract_x
_atom_site_fract_y
_atom_site_fract_z
La1 0.000 0.000 0.000
Ga1 0.000 0.500 0.500
Cu1 0.500 0.500 0.500
Sb1 0.500 0.500 0.000
```

Results
magnetization: 0.00 μB/f.u.
ρ: 5.95 g/cm3
formation energy from raw total energies: -0.25 eV per atom